[1]
Below is a geometry-optimized Ba6BiH5 structure, with properties calculated at the PBE-GGA level.

Size of the total moment in μB per formula unit: 3.76
Total energy in eV/atom: -3.033
Space group: C2/m, No. 12
Crystal system: monoclinic
Calculated volume in Å³ per cell: 352.7

Cell and atoms, written as extended XYZ:
```
12
Lattice="3.859 -6.455 0.000 3.859 6.455 0.000 -2.640 0.000 7.080" Properties=species:S:1:pos:R:3 pbc="T T T"
Ba 0.992 2.454 1.698
Ba -0.285 0.000 5.576
Ba 0.992 -2.454 1.698
Ba 4.086 2.454 5.382
Ba 5.364 0.000 1.504
Ba 4.086 -2.454 5.382
Bi 2.539 0.000 3.540
H 0.000 0.000 0.000
H 2.539 4.374 3.540
H 3.859 1.927 0.000
H 3.859 -1.927 0.000
H 2.539 -4.374 3.540
```



[2]
Below is a geometry-optimized Ba4Bi2H3 structure, with properties calculated at the PBE-GGA level.

Size of the total moment in μB per formula unit: 0.00
Total energy in eV/atom: -3.402
Space group: Cmce, No. 64
Crystal system: orthorhombic
Calculated volume in Å³ per cell: 579.1

Cell and atoms, written as extended XYZ:
```
18
Lattice="3.902 -8.035 0.000 3.902 8.035 0.000 0.000 0.000 9.235" Properties=species:S:1:pos:R:3 pbc="T T T"
Ba 3.902 4.768 8.226
Ba 1.951 0.722 6.926
Ba 1.951 -0.722 2.309
Ba 3.902 3.266 3.609
Ba 3.902 -3.266 5.626
Ba 5.854 0.722 6.926
Ba 5.854 -0.722 2.309
Ba 3.902 -4.768 1.009
Bi 3.902 6.386 5.176
Bi 3.902 1.648 0.559
Bi 3.902 -1.648 8.676
Bi 3.902 -6.386 4.059
H 0.000 0.000 0.000
H 1.951 3.384 6.926
H 1.951 -3.384 2.309
H 3.902 0.000 4.618
H 5.854 3.384 6.926
H 5.854 -3.384 2.309
```



[3]
Below is a geometry-optimized Ba3BiH structure, with properties calculated at the PBE-GGA level.

Size of the total moment in μB per formula unit: 1.25
Space group: Cmmm, No. 65
Crystal system: orthorhombic
Calculated volume in Å³ per cell: 387.5
Offset from the most stable computed form in eV per formula unit: 0.009

Cell and atoms, written as extended XYZ:
```
10
Lattice="5.311 -7.592 0.000 5.311 7.592 0.000 0.000 0.000 4.806" Properties=species:S:1:pos:R:3 pbc="T T T"
Ba 5.311 4.930 0.000
Ba 3.284 1.851 2.403
Ba 3.284 -1.851 2.403
Ba 7.337 1.851 2.403
Ba 7.337 -1.851 2.403
Ba 5.311 -4.930 0.000
Bi 0.000 0.000 2.403
Bi 5.311 0.000 0.000
H 2.655 3.796 0.000
H 2.655 -3.796 0.000
```



[4]
Below is a geometry-optimized Ba2BiH structure, with properties calculated at the PBE-GGA level.

Size of the total moment in μB per formula unit: 0.00
Space group: R3m, No. 160
Crystal system: trigonal
Calculated volume in Å³ per cell: 153.6
Offset from the most stable computed form in eV per formula unit: 1.198

Cell and atoms, written as extended XYZ:
```
4
Lattice="2.404 1.388 7.675 -2.404 1.388 7.675 0.000 -2.776 7.675" Properties=species:S:1:pos:R:3 pbc="T T T"
Ba 0.000 0.000 0.000
Ba 0.000 0.000 4.138
Bi 0.000 0.000 9.746
H 0.000 0.000 13.697
```



[5]
Below is a geometry-optimized BaBiH4 structure, with properties calculated at the PBE-GGA level.

Size of the total moment in μB per formula unit: 0.00
Total energy in eV/atom: -3.129
Space group: P4/mmm, No. 123
Crystal system: tetragonal
Calculated volume in Å³ per cell: 97.3

Cell and atoms, written as extended XYZ:
```
6
Lattice="4.250 0.000 0.000 0.000 4.250 0.000 0.000 0.000 5.386" Properties=species:S:1:pos:R:3 pbc="T T T"
Ba 0.000 0.000 0.000
Bi 2.125 2.125 2.693
H 0.000 2.125 1.562
H 0.000 2.125 3.824
H 2.125 0.000 1.562
H 2.125 0.000 3.824
```



[6]
Below is a geometry-optimized Ba4Bi2H structure, with properties calculated at the PBE-GGA level.

Size of the total moment in μB per formula unit: 0.00
Space group: I4/mmm, No. 139
Crystal system: tetragonal
Calculated volume in Å³ per cell: 275.1
Offset from the most stable computed form in eV per formula unit: 0.000

Cell and atoms, written as extended XYZ:
```
7
Lattice="-2.673 2.673 9.625 2.673 -2.673 9.625 2.673 2.673 -9.625" Properties=species:S:1:pos:R:3 pbc="T T T"
Ba 2.673 0.000 0.000
Ba 0.000 0.000 3.448
Ba 0.000 2.673 0.000
Ba 0.000 0.000 15.803
Bi 0.000 0.000 7.044
Bi 0.000 0.000 12.207
H 0.000 0.000 0.000
```



[7]
Below is a geometry-optimized BaBiH2 structure, with properties calculated at the PBE-GGA level.

Size of the total moment in μB per formula unit: 0.00
Space group: P-1, No. 2
Crystal system: triclinic
Calculated volume in Å³ per cell: 190.6
Offset from the most stable computed form in eV per formula unit: 0.000

Cell and atoms, written as extended XYZ:
```
8
Lattice="4.571 0.000 0.000 -0.333 6.184 0.000 -2.182 -2.794 6.744" Properties=species:S:1:pos:R:3 pbc="T T T"
Ba -0.026 0.964 1.860
Ba 2.082 2.426 4.884
Bi -0.094 -0.673 5.538
Bi 2.149 4.063 1.206
H 0.321 4.480 0.835
H -0.196 2.681 3.767
H 2.251 0.709 2.977
H 1.734 -1.090 5.909
```



[8]
Below is a geometry-optimized BaBiH2 structure, with properties calculated at the PBE-GGA level.

Size of the total moment in μB per formula unit: 0.00
Space group: I-42d, No. 122
Crystal system: tetragonal
Calculated volume in Å³ per cell: 184.5
Offset from the most stable computed form in eV per formula unit: 0.955

Cell and atoms, written as extended XYZ:
```
8
Lattice="-2.553 2.553 7.079 2.553 -2.553 7.079 2.553 2.553 -7.079" Properties=species:S:1:pos:R:3 pbc="T T T"
Ba 0.000 0.000 0.000
Ba 0.000 2.553 3.540
Bi 2.553 0.000 3.540
Bi 0.000 0.000 7.079
H 1.276 -0.939 5.309
H 1.614 1.276 1.770
H 1.276 3.491 -1.770
H 0.939 1.276 8.849
```



What did the eighth record say?
Below is a geometry-optimized BaBiH2 structure, with properties calculated at the PBE-GGA level.

Size of the total moment in μB per formula unit: 0.00
Space group: I-42d, No. 122
Crystal system: tetragonal
Calculated volume in Å³ per cell: 184.5
Offset from the most stable computed form in eV per formula unit: 0.955

Cell and atoms, written as extended XYZ:
```
8
Lattice="-2.553 2.553 7.079 2.553 -2.553 7.079 2.553 2.553 -7.079" Properties=species:S:1:pos:R:3 pbc="T T T"
Ba 0.000 0.000 0.000
Ba 0.000 2.553 3.540
Bi 2.553 0.000 3.540
Bi 0.000 0.000 7.079
H 1.276 -0.939 5.309
H 1.614 1.276 1.770
H 1.276 3.491 -1.770
H 0.939 1.276 8.849
```



What did the sixth record say?
Below is a geometry-optimized Ba4Bi2H structure, with properties calculated at the PBE-GGA level.

Size of the total moment in μB per formula unit: 0.00
Space group: I4/mmm, No. 139
Crystal system: tetragonal
Calculated volume in Å³ per cell: 275.1
Offset from the most stable computed form in eV per formula unit: 0.000

Cell and atoms, written as extended XYZ:
```
7
Lattice="-2.673 2.673 9.625 2.673 -2.673 9.625 2.673 2.673 -9.625" Properties=species:S:1:pos:R:3 pbc="T T T"
Ba 2.673 0.000 0.000
Ba 0.000 0.000 3.448
Ba 0.000 2.673 0.000
Ba 0.000 0.000 15.803
Bi 0.000 0.000 7.044
Bi 0.000 0.000 12.207
H 0.000 0.000 0.000
```



Question: Which formula does entry 2 have?
Answer: Ba4Bi2H3